1.
ErPu5N6 | GGA-PBE | relaxed

a b c (Å): 6.0195 10.3846 6.0192
angles (deg): 90.00 109.64 90.00
Space group C2/m (No. 12)
Unique sites:
Er  0.0000  0.0000  0.0000 (multiplicity 2)
Pu  0.0000  0.1657  0.5000 (multiplicity 4)
Pu  0.0000  0.3338  0.0000 (multiplicity 4)
Pu  0.0000  0.5000  0.5000 (multiplicity 2)
N  0.2478  0.0000  0.7519 (multiplicity 4)
N  0.2479  0.1700  0.2474 (multiplicity 8)

Values from the calculation:
Energy relative to the elements, uncorrected, eV per formula unit: -15.51
V, A^3/atom: 14.8
Calculated density, g/cm³: 13.8
Fermi-level density of states, states/eV/atom: 2.288
Total energy, eV/f.u.: -141.68
Spin magnetization, μB per cell: 27.6

=====

2.
U2Al2Ga | GGA-PBE | relaxed

a b c (Å): 4.7885 13.4373 2.9041
angles (deg): 90.00 90.00 90.00
Space group Cmmm (No. 65)
Unique sites:
U  0.0000  0.0933  0.0000 (multiplicity 4)
Al  0.0000  0.2991  0.5000 (multiplicity 4)
Ga  0.0000  0.5000  0.5000 (multiplicity 2)

Values from the calculation:
V, A^3/atom: 18.7
Calculated density, g/cm³: 10.7
Fermi-level density of states, states/eV/atom: 1.565
Total energy, eV/f.u.: -34.02
ΔE_f, kJ/mol of atoms: -18.0
Spin magnetization, μB per cell: 0.0